1.
Ce4Mg3Cd4 | Alexandria via LeMat-Bulk | PBE | optimized geometry; energy of formation = -0.0487 eV per atom; total magnetic moment = 3.30 μB/f.u.; V = 275.4 Å³ per cell; D(E_F) = 1.874 states/eV per atom
1.0
3.076 0.000 0.000
0.000 8.771 0.000
-1.538 -4.386 10.205
Cd Mg Ce
4 3 4
direct
0.500 0.202 0.000
0.500 0.798 0.000
0.720 0.220 0.439
0.280 0.780 0.561
0.905 0.905 0.811
0.000 0.500 0.000
0.095 0.095 0.189
0.652 0.499 0.303
0.348 0.501 0.697
0.652 0.804 0.303
0.348 0.196 0.697


2.
Ce2MgCd3 | Alexandria via LeMat-Bulk | PBE | optimized geometry; energy above the most stable polymorph in this dataset = 126 meV/atom; energy of formation = -0.0642 eV per atom; total magnetic moment = 2.58 μB/f.u.; V = 159.4 Å³ per cell; D(E_F) = 2.432 states/eV per atom
1.0
-2.043 -0.785 -2.467
-2.723 -3.095 3.241
-3.042 9.049 1.844
Cd Ce Mg
3 2 1
direct
0.312 0.812 0.624
0.690 0.690 0.379
0.533 0.533 0.066
0.872 0.372 0.743
0.128 0.128 0.257
0.465 0.965 0.931


3.
CeMg8Cd4 | Alexandria via LeMat-Bulk | PBE | optimized geometry; energy of formation = -0.1147 eV per atom; total magnetic moment = 1.06 μB/f.u.; V = 297.9 Å³ per cell; D(E_F) = 0.954 states/eV per atom
1.0
5.493 0.000 2.208
2.746 7.094 1.104
0.100 0.000 7.686
Mg Cd Ce
8 4 1
direct
0.650 0.350 0.350
0.713 0.787 0.787
0.000 0.650 0.350
0.000 0.350 0.650
0.287 0.213 0.213
0.500 0.787 0.213
0.350 0.650 0.650
0.500 0.213 0.787
0.500 0.000 0.500
0.000 0.500 0.000
0.000 0.000 0.500
0.500 0.500 0.000
0.000 0.000 0.000